First-principles (PBE) data for an optimized crystal structure of MgCo3, as listed in OQMD via LeMat-Bulk.

Properties
Total moment = 0.02 μB per formula unit
Raw total energy = -5.412 eV per atom

Unit cell a=5.187 b=5.187 c=4.178 alpha=90.00 beta=90.00 gamma=120.00
Sites, in units of the cell vectors:
Mg 0.333 0.667 0.250
Mg 0.667 0.333 0.750
Co 0.160 0.319 0.750
Co 0.160 0.840 0.750
Co 0.319 0.160 0.250
Co 0.681 0.840 0.750
Co 0.840 0.160 0.250
Co 0.840 0.681 0.250